*A*
# CdGa2Sn2 | Alexandria via LeMat-Bulk | GGA-PBE | relaxed
data_CdGa2Sn2
_cell_length_a 3.835
_cell_length_b 3.835
_cell_length_c 16.699
_cell_angle_alpha 90.00
_cell_angle_beta 90.00
_cell_angle_gamma 90.00
_symmetry_space_group_name_H-M 'I 4/m m m'
_symmetry_Int_Tables_number 139
_symmetry_space_group_name_Hall '-I 4 2'
loop_
_atom_site_label
_atom_site_fract_x
_atom_site_fract_y
_atom_site_fract_z
Cd1 0.000 0.000 0.000
Ga1 0.000 0.500 0.250
Sn1 0.000 0.000 0.389
# Size of the total moment   0.0 μB per cell

*B*
# CdGa2Sn2 | Alexandria via LeMat-Bulk | GGA-PBE | relaxed
data_CdGa2Sn2
_cell_length_a 4.881
_cell_length_b 4.881
_cell_length_c 11.277
_cell_angle_alpha 90.00
_cell_angle_beta 90.00
_cell_angle_gamma 90.00
_symmetry_space_group_name_H-M 'I 4/m m m'
_symmetry_Int_Tables_number 139
_symmetry_space_group_name_Hall '-I 4 2'
loop_
_atom_site_label
_atom_site_fract_x
_atom_site_fract_y
_atom_site_fract_z
Cd1 0.000 0.000 0.000
Ga1 0.000 0.500 0.250
Sn1 0.000 0.000 0.375
# Size of the total moment   0.0 μB per cell

Computed relative energies in units of meV/atom: *A* 0; *B* 58

*A*
# CdGa2Sn2 | Alexandria via LeMat-Bulk | GGA-PBE | relaxed
data_CdGa2Sn2
_cell_length_a 4.9072
_cell_length_b 4.9072
_cell_length_c 11.6261
_cell_angle_alpha 90.00
_cell_angle_beta 90.00
_cell_angle_gamma 120.00
_symmetry_space_group_name_H-M 'P 63/m m c'
_symmetry_Int_Tables_number 194
_symmetry_space_group_name_Hall '-P 6c 2c'
loop_
_atom_site_label
_atom_site_fract_x
_atom_site_fract_y
_atom_site_fract_z
Cd1 0.0000 0.0000 0.2500
Ga1 0.0000 0.0000 0.0000
Ga2 0.3333 0.6667 0.2500
Sn1 0.3333 0.6667 0.5926
# Size of the total moment   0.0 μB per cell

*B*
# CdGa2Sn2 | Alexandria via LeMat-Bulk | GGA-PBE | relaxed
data_CdGa2Sn2
_cell_length_a 7.405
_cell_length_b 7.405
_cell_length_c 4.325
_cell_angle_alpha 90.00
_cell_angle_beta 90.00
_cell_angle_gamma 90.00
_symmetry_space_group_name_H-M 'P 4/m b m'
_symmetry_Int_Tables_number 127
_symmetry_space_group_name_Hall '-P 4 2ab'
loop_
_atom_site_label
_atom_site_fract_x
_atom_site_fract_y
_atom_site_fract_z
Cd1 0.000 0.000 0.000
Ga1 0.126 0.374 0.000
Sn1 0.182 0.682 0.500
# Size of the total moment   0.0 μB per cell

Computed relative energies in units of meV/atom: *A* 37; *B* 0

*A*
# CdGa6Sn | Alexandria via LeMat-Bulk | GGA-PBE | relaxed
data_CdGa6Sn
_cell_length_a 4.497
_cell_length_b 4.497
_cell_length_c 8.193
_cell_angle_alpha 90.00
_cell_angle_beta 90.00
_cell_angle_gamma 90.00
_symmetry_space_group_name_H-M 'P 4/m m m'
_symmetry_Int_Tables_number 123
_symmetry_space_group_name_Hall '-P 4 2'
loop_
_atom_site_label
_atom_site_fract_x
_atom_site_fract_y
_atom_site_fract_z
Cd1 0.000 0.000 0.000
Ga1 0.000 0.500 0.243
Ga2 0.500 0.500 0.000
Ga3 0.500 0.500 0.500
Sn1 0.000 0.000 0.500
# Size of the total moment   0.0 μB per cell

*B*
# CdGa6Sn | Alexandria via LeMat-Bulk | GGA-PBE | relaxed
data_CdGa6Sn
_cell_length_a 4.213
_cell_length_b 8.272
_cell_length_c 9.476
_cell_angle_alpha 90.00
_cell_angle_beta 90.00
_cell_angle_gamma 90.00
_symmetry_space_group_name_H-M 'A m m 2'
_symmetry_Int_Tables_number 38
_symmetry_space_group_name_Hall 'A 2 -2'
loop_
_atom_site_label
_atom_site_fract_x
_atom_site_fract_y
_atom_site_fract_z
Cd1 0.000 0.000 0.000
Ga1 0.000 0.000 0.515
Ga2 0.000 0.235 0.750
Ga3 0.500 0.000 0.762
Ga4 0.500 0.241 0.511
Sn1 0.500 0.000 0.263
# Size of the total moment   0.0 μB per cell

Computed relative energies in units of meV/atom: *A* 16; *B* 0

*A*
# SrCd3Ga | Alexandria via LeMat-Bulk | GGA-PBE | relaxed
data_SrCd3Ga
_cell_length_a 5.277
_cell_length_b 5.277
_cell_length_c 5.277
_cell_angle_alpha 90.00
_cell_angle_beta 90.00
_cell_angle_gamma 90.00
_symmetry_space_group_name_H-M 'P m -3 m'
_symmetry_Int_Tables_number 221
_symmetry_space_group_name_Hall '-P 4 2 3'
loop_
_atom_site_label
_atom_site_fract_x
_atom_site_fract_y
_atom_site_fract_z
Sr1 0.000 0.000 0.000
Cd1 0.000 0.500 0.500
Ga1 0.500 0.500 0.500
# Size of the total moment   0.0 μB per cell

*B*
# SrCd3Ga | Alexandria via LeMat-Bulk | GGA-PBE | relaxed
data_SrCd3Ga
_cell_length_a 6.244
_cell_length_b 6.244
_cell_length_c 6.244
_cell_angle_alpha 90.00
_cell_angle_beta 90.00
_cell_angle_gamma 90.00
_symmetry_space_group_name_H-M 'P m -3 m'
_symmetry_Int_Tables_number 221
_symmetry_space_group_name_Hall '-P 4 2 3'
loop_
_atom_site_label
_atom_site_fract_x
_atom_site_fract_y
_atom_site_fract_z
Sr1 0.000 0.000 0.000
Cd1 0.000 0.000 0.500
Ga1 0.500 0.500 0.500
# Size of the total moment   0.0 μB per cell

Computed relative energies in units of meV/atom: *A* 0; *B* 734